Record 1
Ho2Se3O12: relaxed, PBE.

Values from the calculation:
* E: -209.5 eV for the cell shown
* uncorrected formation energy: -1.508 eV per atom
* polymorph energy (0 for the lowest one): 0.0863 eV/atom
* crystal system: monoclinic

Unit cell a=6.848 b=6.848 c=11.249 alpha=99.39 beta=99.39 gamma=117.52
Fractional positions:
Ho: 0.052 0.301 0.093
Ho: 0.301 0.052 0.593
Ho: 0.699 0.948 0.407
Ho: 0.948 0.699 0.907
Se: 0.136 0.864 0.250
Se: 0.213 0.449 0.423
Se: 0.449 0.213 0.923
Se: 0.551 0.787 0.077
Se: 0.787 0.551 0.577
Se: 0.864 0.136 0.750
O: 0.003 0.581 0.210
O: 0.050 0.938 0.122
O: 0.062 0.950 0.378
O: 0.071 0.687 0.605
O: 0.260 0.654 0.043
O: 0.262 0.369 0.288
O: 0.313 0.377 0.543
O: 0.313 0.929 0.895
O: 0.346 0.740 0.457
O: 0.369 0.262 0.788
O: 0.377 0.313 0.043
O: 0.419 0.997 0.290
O: 0.581 0.003 0.710
O: 0.623 0.687 0.957
O: 0.631 0.738 0.212
O: 0.654 0.260 0.543
O: 0.687 0.071 0.105
O: 0.687 0.623 0.457
O: 0.738 0.631 0.712
O: 0.740 0.346 0.957
O: 0.929 0.313 0.395
O: 0.938 0.050 0.622
O: 0.950 0.062 0.878
O: 0.997 0.419 0.790

Record 2
Ho4Se3O4: relaxed, PBE.

Values from the calculation:
* E: -73.9 eV for the cell shown
* uncorrected formation energy: -2.303 eV per atom
* crystal system: orthorhombic

Unit cell a=7.585 b=7.585 c=7.585 alpha=150.12 beta=121.06 gamma=67.48
Fractional positions:
Ho: 0.219 0.219 0.000
Ho: 0.254 0.500 0.754
Ho: 0.746 0.500 0.246
Ho: 0.781 0.781 0.000
Se: 0.000 0.000 0.000
Se: 0.402 0.902 0.500
Se: 0.598 0.098 0.500
O: 0.009 0.326 0.682
O: 0.356 0.674 0.682
O: 0.644 0.326 0.318
O: 0.991 0.674 0.318